# Na4Ni7P6O24 PBE+U relaxed
# **Total energy**: -6.165 eV/atom
# **Size of the total moment**: 13.9 μB per formula unit
data_Na4Ni7P6O24
_chemical_formula_sum 'Na4 Ni7 P6 O24'
_cell_length_a 8.864
_cell_length_b 8.864
_cell_length_c 6.493
_cell_angle_alpha 81.14
_cell_angle_beta 81.14
_cell_angle_gamma 105.62
_space_group_name_H-M_alt 'P 1'
_space_group_IT_number 1
loop_
_space_group_symop_operation_xyz
'x,y,z'
loop_
_atom_site_label
_atom_site_fract_x
_atom_site_fract_y
_atom_site_fract_z
Na1 0.929 0.929 0.522
Na2 0.276 0.276 0.464
Na3 0.736 0.487 0.461
Na4 0.487 0.736 0.461
Ni1 0.358 0.983 0.182
Ni2 0.983 0.358 0.182
Ni3 0.024 0.637 0.818
Ni4 0.637 0.024 0.818
Ni5 0.375 0.627 0.999
Ni6 0.627 0.375 0.999
Ni7 0.001 0.001 0.000
P1 0.692 0.692 0.036
P2 0.314 0.314 0.958
P3 0.283 0.906 0.720
P4 0.906 0.283 0.720
P5 0.100 0.716 0.283
P6 0.716 0.100 0.283
O1 0.556 0.556 0.203
O2 0.453 0.453 0.803
O3 0.801 0.801 0.146
O4 0.204 0.204 0.850
O5 0.224 0.400 0.108
O6 0.400 0.224 0.108
O7 0.602 0.781 0.893
O8 0.781 0.602 0.893
O9 0.999 0.661 0.510
O10 0.661 0.999 0.510
O11 0.338 0.001 0.491
O12 0.001 0.338 0.491
O13 0.018 0.604 0.143
O14 0.604 0.018 0.143
O15 0.393 0.986 0.862
O16 0.986 0.393 0.862
O17 0.112 0.898 0.212
O18 0.725 0.284 0.749
O19 0.284 0.725 0.749
O20 0.720 0.282 0.252
O21 0.282 0.720 0.252
O22 0.887 0.099 0.790
O23 0.099 0.887 0.790
O24 0.898 0.112 0.212